The following is a PBE calculation of an optimized crystal structure of Nd2HoCo2B2N3, from OQMD via LeMat-Bulk.

E, eV/cell: -77.6

The structure in CIF format:
```
data_Nd2HoCo2B2N3
_cell_length_a 10.1971
_cell_length_b 10.1971
_cell_length_c 10.1971
_cell_angle_alpha 159.74
_cell_angle_beta 159.74
_cell_angle_gamma 28.80
_space_group_name_H-M_alt 'P 1'
_space_group_IT_number 1
_space_group_name_Hall 'P 1'
loop_
_atom_site_label
_atom_site_fract_x
_atom_site_fract_y
_atom_site_fract_z
N1 0.8805 0.8805 0.0000
N2 0.5000 0.5000 0.0000
N3 0.1195 0.1195 0.0000
B1 0.8044 0.8044 0.0000
B2 0.1956 0.1956 0.0000
Nd1 0.6264 0.6264 0.0000
Nd2 0.3736 0.3736 0.0000
Co1 0.2500 0.7500 0.5000
Co2 0.7500 0.2500 0.5000
Ho1 0.0000 0.0000 0.0000
```

***

The following is a PBE calculation of an optimized crystal structure of Y2PtBr, from OQMD via LeMat-Bulk.

E, eV/cell: -24.9

The structure in CIF format:
```
data_Y2PtBr
_cell_length_a 4.0763
_cell_length_b 4.0763
_cell_length_c 5.8996
_cell_angle_alpha 90.00
_cell_angle_beta 90.00
_cell_angle_gamma 90.00
_space_group_name_H-M_alt 'P 1'
_space_group_IT_number 1
_space_group_name_Hall 'P 1'
loop_
_atom_site_label
_atom_site_fract_x
_atom_site_fract_y
_atom_site_fract_z
Y1 0.0000 0.0000 0.0000
Y2 0.5000 0.5000 0.5000
Br1 0.5000 0.5000 0.0000
Pt1 0.0000 0.0000 0.5000
```

***

The following is a PBE calculation of an optimized crystal structure of Hf2ZrBi, from OQMD via LeMat-Bulk.

E, eV/cell: -32.0

The structure in CIF format:
```
data_Hf2ZrBi
_cell_length_a 5.0459
_cell_length_b 5.0459
_cell_length_c 5.0459
_cell_angle_alpha 60.00
_cell_angle_beta 60.00
_cell_angle_gamma 60.00
_space_group_name_H-M_alt 'P 1'
_space_group_IT_number 1
_space_group_name_Hall 'P 1'
loop_
_atom_site_label
_atom_site_fract_x
_atom_site_fract_y
_atom_site_fract_z
Zr1 0.2500 0.2500 0.2500
Hf1 0.7500 0.7500 0.7500
Hf2 0.0000 0.0000 0.0000
Bi1 0.5000 0.5000 0.5000
```

***

The following is a PBE calculation of an optimized crystal structure of HoTmSi2W2C, from OQMD via LeMat-Bulk.

E, eV/cell: -58.8

The structure in CIF format:
```
data_HoTmSi2W2C
_cell_length_a 5.8591
_cell_length_b 5.8591
_cell_length_c 7.0770
_cell_angle_alpha 123.10
_cell_angle_beta 123.10
_cell_angle_gamma 37.96
_space_group_name_H-M_alt 'P 1'
_space_group_IT_number 1
_space_group_name_Hall 'P 1'
loop_
_atom_site_label
_atom_site_fract_x
_atom_site_fract_y
_atom_site_fract_z
Tm1 0.5742 0.5742 0.2948
W1 0.7927 0.7927 0.9151
W2 0.2076 0.2076 0.0857
Si1 0.8690 0.8690 0.3404
Si2 0.1308 0.1308 0.6586
Ho1 0.4253 0.4253 0.7043
C1 0.0003 0.0003 0.0012
```

***

The following is a PBE calculation of an optimized crystal structure of NpBMo, from OQMD via LeMat-Bulk.

Energy above the most stable polymorph in this dataset, meV per atom: 0.0

The structure in CIF format:
```
data_NpBMo
_cell_length_a 4.0505
_cell_length_b 4.0505
_cell_length_c 4.0505
_cell_angle_alpha 60.00
_cell_angle_beta 60.00
_cell_angle_gamma 60.00
_space_group_name_H-M_alt 'P 1'
_space_group_IT_number 1
_space_group_name_Hall 'P 1'
loop_
_atom_site_label
_atom_site_fract_x
_atom_site_fract_y
_atom_site_fract_z
B1 0.0000 0.0000 0.0000
Mo1 0.2500 0.2500 0.2500
Np1 0.7500 0.7500 0.7500
```

***

The following is a PBE calculation of an optimized crystal structure of NaCo3Se5, from OQMD via LeMat-Bulk.

E, eV/cell: -42.5

The structure in CIF format:
```
data_NaCo3Se5
_cell_length_a 5.5384
_cell_length_b 5.5384
_cell_length_c 6.8555
_cell_angle_alpha 90.00
_cell_angle_beta 90.00
_cell_angle_gamma 120.00
_space_group_name_H-M_alt 'P 1'
_space_group_IT_number 1
_space_group_name_Hall 'P 1'
loop_
_atom_site_label
_atom_site_fract_x
_atom_site_fract_y
_atom_site_fract_z
Se1 0.3333 0.6667 0.7491
Se2 0.3333 0.6667 0.2509
Se3 0.0000 0.0000 0.5000
Se4 0.6667 0.3333 0.7491
Se5 0.6667 0.3333 0.2509
Na1 0.0000 0.0000 0.0000
Co1 0.5000 0.0000 0.5000
Co2 0.0000 0.5000 0.5000
Co3 0.5000 0.5000 0.5000
```